VASP calculation (GGA-PBEsol) on an optimized crystal structure of KSrW2.

POSCAR file:
```
KSrW2
1.0
2.793 0.000 0.000
0.000 5.518 0.000
0.000 0.000 7.154
W Sr K
2 1 1
direct
0.000 0.000 0.665
0.000 0.000 0.335
0.500 0.500 0.500
0.500 0.500 0.000
```

V (Å³/atom): 27.6
Total magnetization (Bohr magnetons per cell): 0.00
Space-group type: No. 47
Energy (eV/atom): -6.11
Energy relative to the lowest polymorph listed for this composition (meV/atom): 0.0

---

VASP calculation (GGA-PBEsol) on an optimized crystal structure of Ca2ScRe.

POSCAR file:
```
Ca2ScRe
1.0
3.501 0.000 0.000
0.000 3.501 0.000
0.000 0.000 8.338
Re Sc Ca
1 1 2
direct
0.000 0.000 0.552
0.500 0.500 0.680
0.000 0.000 0.951
0.500 0.500 0.317
```

V (Å³/atom): 25.6
Total magnetization (Bohr magnetons per cell): 0.00
Space-group type: No. 99
Energy (eV/atom): -5.75